A geometry-optimized KIr3 structure. Source: the Alexandria database, functional GGA-PBE.

**E above lowest polymorph**: 0.262 eV per atom
**Magnetization**: 0.0 μB per cell

a = 6.3054 Å, b = 9.6950 Å, c = 4.5675 Å
α = 90.00°, β = 90.00°, γ = 90.00°
Space group Cmcm (No. 63)
One atom of each set of equivalent atoms:
K 0.0000 0.0511 0.2500 x4
Ir 0.0000 0.4189 0.7500 x4
Ir 0.2031 0.3048 0.2500 x8